Below is CsCd3Cl at its PBEsol-relaxed geometry, with properties calculated at the SCAN level.

abc: 6.9967 6.9967 6.9967
angles: 90.00 90.00 90.00
Last column: nearest neighbours and their distance in Å.
Sites, in units of the cell vectors:
Cs  0.0000  0.0000  0.0000  6 Cd 3.50
Cd  0.0000  0.0000  0.5000  2 Cs 3.50
Cd  0.0000  0.5000  0.0000  2 Cs 3.50
Cd  0.5000  0.0000  0.0000  2 Cs 3.50
Cl  0.5000  0.5000  0.5000  12 Cd 4.95

- formation energy without anion corrections (kcal/mol of atoms) = 5.77
- SG = Pm-3m

---

Below is DyHo at its PBEsol-relaxed geometry, with properties calculated at the SCAN level.

abc: 3.5204 3.5204 5.5116
angles: 90.00 90.00 120.00
Last column: nearest neighbours and their distance in Å.
Sites, in units of the cell vectors:
Dy  0.0000  0.0000  0.0000  6 Ho 3.42, 6 Dy 3.52
Ho  0.3333  0.6667  0.5000  6 Dy 3.42, 6 Ho 3.52

- DFT formation energy (eV per atom) = 0.01
- SG = P-6m2

---

Below is TbMn2SiC at its PBEsol-relaxed geometry, with properties calculated at the SCAN level.

abc: 5.5253 5.5253 6.8885
angles: 90.00 90.00 140.92
Last column: nearest neighbours and their distance in Å.
Sites, in units of the cell vectors:
Tb  0.0447  0.9553  0.7500  4 C 2.57
Tb  0.9553  0.0447  0.2500  4 C 2.57
Mn  0.3311  0.6689  0.5634  1 C 1.81
Mn  0.3311  0.6689  0.9366  1 C 1.81
Mn  0.6689  0.3311  0.0634  1 C 1.81
Mn  0.6689  0.3311  0.4366  1 C 1.81
Si  0.2354  0.7646  0.2500  6 Mn 2.36-2.38
Si  0.7646  0.2354  0.7500  6 Mn 2.36-2.38
C  0.5000  0.5000  0.0000  2 Mn 1.81
C  0.5000  0.5000  0.5000  2 Mn 1.81

- formation energy without anion corrections (kcal/mol of atoms) = -13.32
- SG = Cmcm

---

Copy entry 2 word for word.
Below is DyHo at its PBEsol-relaxed geometry, with properties calculated at the SCAN level.

abc: 3.5204 3.5204 5.5116
angles: 90.00 90.00 120.00
Last column: nearest neighbours and their distance in Å.
Sites, in units of the cell vectors:
Dy  0.0000  0.0000  0.0000  6 Ho 3.42, 6 Dy 3.52
Ho  0.3333  0.6667  0.5000  6 Dy 3.42, 6 Ho 3.52

- DFT formation energy (eV per atom) = 0.01
- SG = P-6m2